An optimized crystal structure of PrNd2Cd3AgHg2, computed with PBE-GGA.

Cell lengths 4.2194, 7.9897, 7.9897 Å; angles 120.01, 90.00, 90.00 degrees
Closest atoms and distances in Å follow each position.
Sites, in units of the cell vectors:
1 Pr 0.0000 0.0000 0.0000  4 Hg 3.22, 1 Ag 3.26, 6 Cd 3.47-3.54
2 Nd 0.0000 0.1862 0.5930  4 Hg 3.21, 1 Ag 3.25, 6 Cd 3.47-3.54
3 Nd 0.0000 0.5930 0.1862  4 Hg 3.21, 1 Ag 3.25, 6 Cd 3.47-3.54
4 Cd 0.5000 0.3453 0.3453  2 Ag 2.89, 2 Hg 3.07
5 Cd 0.5000 0.5928 0.8406  2 Ag 2.90, 2 Hg 3.05-3.07
6 Cd 0.5000 0.8406 0.5928  2 Ag 2.90, 2 Hg 3.05-3.07
7 Ag 0.0000 0.5921 0.5921  6 Cd 2.89-2.90
8 Hg 0.5000 0.2610 0.9259  3 Cd 3.05-3.07, 4 Nd 3.21, 2 Pr 3.22
9 Hg 0.5000 0.9259 0.2610  3 Cd 3.05-3.07, 4 Nd 3.21, 2 Pr 3.22

Output
As for the spin magnetization: 0.0 μB/cell. Its energy of formation is -402.4 meV per atom. The calculation puts the total energy at -2.6698 eV/atom.